# MoPtPb2

An optimized crystal structure of MoPtPb2 (GGA-PBE, Alexandria via LeMat-Bulk).

- Calculated total energy: -5.7385 eV per atom
- Distance to the lowest polymorph of the same formula: 180 meV per atom
- Energy of formation: 0.33 eV per atom

a b c (Å): 3.1563 3.1563 31.9648
angles (deg): 90.00 90.00 120.00
Last column: nearest neighbours and their distance in Å.
Space group R3m (No. 160, hexagonal axes)
Asymmetric unit:
Mo 0.0000 0.0000 0.0000 (multiplicity 3)  3 Pt 2.66
Pt 0.0000 0.0000 0.2728 (multiplicity 3)  3 Mo 2.66
Pb 0.0000 0.0000 0.5276 (multiplicity 3)  3 Pt 3.10, 6 Pb 3.16
Pb 0.0000 0.0000 0.7457 (multiplicity 3)  3 Mo 3.11, 6 Pb 3.16


# MoPtPb2

An optimized crystal structure of MoPtPb2 (GGA-PBE, Alexandria via LeMat-Bulk).

- Calculated total energy: -5.9183 eV per atom
- Distance to the lowest polymorph of the same formula: 0 meV per atom
- Energy of formation: 0.15 eV per atom

a b c (Å): 3.1133 3.1133 9.4204
angles (deg): 90.00 90.00 90.00
Last column: nearest neighbours and their distance in Å.
Space group P4mm (No. 99)
Asymmetric unit:
Mo 0.0000 0.0000 0.0000 (multiplicity 1)  4 Pt 2.69
Pt 0.5000 0.5000 0.8358 (multiplicity 1)  4 Mo 2.69
Pb 0.0000 0.0000 0.5990 (multiplicity 1)  4 Pb 3.11, 4 Pt 3.13
Pb 0.5000 0.5000 0.2400 (multiplicity 1)  4 Pb 3.11, 4 Mo 3.16


# Mo2PtPb

An optimized crystal structure of Mo2PtPb (GGA-PBE, Alexandria via LeMat-Bulk).

- Calculated total energy: -7.4836 eV per atom
- Energy of formation: 0.37 eV per atom

a b c (Å): 3.9334 3.9334 4.5504
angles (deg): 90.00 90.00 90.00
Last column: nearest neighbours and their distance in Å.
Space group P4/mmm (No. 123)
Asymmetric unit:
Mo 0.0000 0.5000 0.0000 (multiplicity 2)  4 Mo 2.78, 4 Pb 3.01, 4 Pt 3.01
Pt 0.0000 0.0000 0.5000 (multiplicity 1)  4 Pb 2.78, 8 Mo 3.01
Pb 0.5000 0.5000 0.5000 (multiplicity 1)  4 Pt 2.78, 8 Mo 3.01


# MoPt2Pb2

An optimized crystal structure of MoPt2Pb2 (GGA-PBE, Alexandria via LeMat-Bulk).

- Calculated total energy: -5.3681 eV per atom
- Energy of formation: 0.70 eV per atom

a b c (Å): 4.3162 4.3162 12.4150
angles (deg): 90.00 90.00 90.00
Last column: nearest neighbours and their distance in Å.
Space group I4/mmm (No. 139)
Asymmetric unit:
Mo 0.0000 0.0000 0.0000 (multiplicity 2)  8 Pt 3.31
Pt 0.0000 0.0000 0.3976 (multiplicity 4)  1 Pt 2.54, 4 Pb 2.83
Pb 0.0000 0.5000 0.2500 (multiplicity 4)  4 Pt 2.83, 4 Pb 3.05


# Mo2PtPb

An optimized crystal structure of Mo2PtPb (GGA-PBE, Alexandria via LeMat-Bulk).

- Calculated total energy: -7.3215 eV per atom
- Energy of formation: 0.53 eV per atom

a b c (Å): 4.8943 4.8943 2.9511
angles (deg): 90.00 90.00 90.00
Last column: nearest neighbours and their distance in Å.
Space group P4/mmm (No. 123)
Asymmetric unit:
Mo 0.0000 0.5000 0.0000 (multiplicity 2)  4 Pb 2.86, 4 Pt 2.86, 2 Mo 2.95
Pt 0.0000 0.0000 0.5000 (multiplicity 1)  8 Mo 2.86, 2 Pt 2.95
Pb 0.5000 0.5000 0.5000 (multiplicity 1)  8 Mo 2.86, 2 Pb 2.95


# Mo2PtPb

An optimized crystal structure of Mo2PtPb (GGA-PBE, Alexandria via LeMat-Bulk).

- Calculated total energy: -7.3364 eV per atom
- Energy of formation: 0.52 eV per atom

a b c (Å): 6.5896 6.5896 6.5896
angles (deg): 90.00 90.00 90.00
Last column: nearest neighbours and their distance in Å.
Space group F-43m (No. 216)
Asymmetric unit:
Mo 0.0000 0.0000 0.0000 (multiplicity 4)  4 Mo 2.85, 4 Pt 2.85
Mo 0.2500 0.2500 0.2500 (multiplicity 4)  4 Pb 2.85, 4 Mo 2.85
Pt 0.2500 0.2500 0.7500 (multiplicity 4)  4 Mo 2.85, 4 Pb 2.85
Pb 0.0000 0.0000 0.5000 (multiplicity 4)  4 Pt 2.85, 4 Mo 2.85


# Mo2PtPb

An optimized crystal structure of Mo2PtPb (GGA-PBE, Alexandria via LeMat-Bulk).

- Calculated total energy: -7.5891 eV per atom
- Energy of formation: 0.26 eV per atom

a b c (Å): 3.2614 3.2614 7.0037
angles (deg): 90.00 90.00 90.00
Last column: nearest neighbours and their distance in Å.
Space group P4mm (No. 99)
Asymmetric unit:
Mo 0.0000 0.0000 0.0000 (multiplicity 1)  4 Mo 2.65, 4 Pt 2.80
Mo 0.5000 0.5000 0.1874 (multiplicity 1)  4 Mo 2.65, 1 Pt 2.90
Pt 0.5000 0.5000 0.7737 (multiplicity 1)  5 Mo 2.80-2.90, 4 Pb 3.04
Pb 0.0000 0.0000 0.4909 (multiplicity 1)  4 Pt 3.04, 4 Mo 3.14, 4 Pb 3.26


# Mo2PtPb

An optimized crystal structure of Mo2PtPb (GGA-PBE, Alexandria via LeMat-Bulk).

- Calculated total energy: -7.4076 eV per atom
- Energy of formation: 0.45 eV per atom

a b c (Å): 5.4668 8.8021 2.9333
angles (deg): 90.00 90.00 90.00
Last column: nearest neighbours and their distance in Å.
Space group Cmmm (No. 65)
Asymmetric unit:
Mo 0.2500 0.2500 0.0000 (multiplicity 4)  4 Mo 2.73-2.93, 4 Pb 2.98, 4 Pt 2.98
Pt 0.0000 0.0000 0.5000 (multiplicity 2)  2 Pb 2.73, 2 Pt 2.93, 8 Mo 2.98
Pb 0.0000 0.5000 0.5000 (multiplicity 2)  2 Pt 2.73, 2 Pb 2.93, 8 Mo 2.98


# MoPtPb2

An optimized crystal structure of MoPtPb2 (GGA-PBE, Alexandria via LeMat-Bulk).

- Calculated total energy: -5.7196 eV per atom
- Distance to the lowest polymorph of the same formula: 199 meV per atom
- Energy of formation: 0.35 eV per atom

a b c (Å): 10.9867 3.0350 5.3514
angles (deg): 90.00 108.44 90.00
Last column: nearest neighbours and their distance in Å.
Space group Cm (No. 8)
Asymmetric unit:
Mo 0.0000 0.0000 0.0000 (multiplicity 2)  2 Pt 2.71, 1 Pb 2.98, 2 Mo 3.04
Pt 0.1845 0.5000 0.3370 (multiplicity 2)  2 Mo 2.71, 1 Pb 2.94, 2 Pt 3.04
Pb 0.2424 0.0000 0.8638 (multiplicity 2)  3 Mo 2.98-3.09, 2 Pb 3.04, 4 Pt 3.09-3.18
Pb 0.4472 0.0000 0.4813 (multiplicity 2)  3 Pt 2.94-3.13, 2 Pb 3.04, 4 Mo 3.05-3.20


# MoPtPb2

An optimized crystal structure of MoPtPb2 (GGA-PBE, Alexandria via LeMat-Bulk).

- Calculated total energy: -5.5136 eV per atom
- Distance to the lowest polymorph of the same formula: 405 meV per atom
- Energy of formation: 0.56 eV per atom

a b c (Å): 3.2580 3.2580 27.1307
angles (deg): 90.00 90.00 120.00
Last column: nearest neighbours and their distance in Å.
Space group R-3m (No. 166, hexagonal axes)
Asymmetric unit:
Mo 0.0000 0.0000 0.0000 (multiplicity 3)  6 Pb 2.95, 6 Mo 3.26
Pt 0.0000 0.0000 0.5000 (multiplicity 3)  6 Pb 2.93, 6 Pt 3.26
Pb 0.0000 0.0000 0.2497 (multiplicity 6)  3 Pt 2.93, 3 Mo 2.95, 6 Pb 3.26


# MoPt3Pb

An optimized crystal structure of MoPt3Pb (GGA-PBE, Alexandria via LeMat-Bulk).

- Calculated total energy: -5.8233 eV per atom
- Distance to the lowest polymorph of the same formula: 0 meV per atom
- Energy of formation: 0.71 eV per atom

a b c (Å): 4.8950 4.8950 4.8950
angles (deg): 90.00 90.00 90.00
Last column: nearest neighbours and their distance in Å.
Space group Pm-3m (No. 221)
Asymmetric unit:
Mo 0.0000 0.0000 0.0000 (multiplicity 1)  6 Pt 2.45
Pt 0.0000 0.0000 0.5000 (multiplicity 3)  2 Mo 2.45
Pb 0.5000 0.5000 0.5000 (multiplicity 1)  12 Pt 3.46


# MoPtPb2

An optimized crystal structure of MoPtPb2 (GGA-PBE, Alexandria via LeMat-Bulk).

- Calculated total energy: -5.5008 eV per atom
- Distance to the lowest polymorph of the same formula: 418 meV per atom
- Energy of formation: 0.57 eV per atom

a b c (Å): 3.7241 5.2156 8.6598
angles (deg): 90.00 90.00 90.00
Last column: nearest neighbours and their distance in Å.
Space group Cmmm (No. 65)
Asymmetric unit:
Mo 0.0000 0.0000 0.0000 (multiplicity 2)  4 Pb 2.88, 4 Mo 3.20
Pt 0.0000 0.0000 0.5000 (multiplicity 2)  4 Pb 2.83
Pb 0.0000 0.5000 0.2534 (multiplicity 4)  2 Pt 2.83, 2 Mo 2.88


# MoPtPb2

An optimized crystal structure of MoPtPb2 (GGA-PBE, Alexandria via LeMat-Bulk).

- Calculated total energy: -5.6543 eV per atom
- Distance to the lowest polymorph of the same formula: 264 meV per atom
- Energy of formation: 0.42 eV per atom

a b c (Å): 3.0789 5.1034 11.1128
angles (deg): 90.00 90.00 90.00
Last column: nearest neighbours and their distance in Å.
Space group Imm2 (No. 44)
Asymmetric unit:
Mo 0.0000 0.0000 0.0000 (multiplicity 2)  2 Pt 2.69
Pt 0.0000 0.5000 0.3018 (multiplicity 2)  2 Mo 2.69
Pb 0.0000 0.0000 0.5513 (multiplicity 2)  4 Mo 3.03, 2 Pb 3.08, 2 Pt 3.18
Pb 0.0000 0.5000 0.7562 (multiplicity 2)  4 Pt 3.02, 2 Pb 3.08, 2 Mo 3.24


# MoPtPb2

An optimized crystal structure of MoPtPb2 (GGA-PBE, Alexandria via LeMat-Bulk).

- Calculated total energy: -5.4785 eV per atom
- Distance to the lowest polymorph of the same formula: 440 meV per atom
- Energy of formation: 0.59 eV per atom

a b c (Å): 3.8416 5.0434 8.5966
angles (deg): 90.00 90.00 90.00
Last column: nearest neighbours and their distance in Å.
Space group Immm (No. 71)
Asymmetric unit:
Mo 0.0000 0.0000 0.0000 (multiplicity 2)  8 Pb 2.94-3.26, 4 Pt 3.17
Pt 0.0000 0.0000 0.5000 (multiplicity 2)  4 Pb 2.82
Pb 0.0000 0.5000 0.2408 (multiplicity 4)  2 Pt 2.82, 2 Mo 2.94


# Mo2PtPb

An optimized crystal structure of Mo2PtPb (GGA-PBE, Alexandria via LeMat-Bulk).

- Calculated total energy: -7.5293 eV per atom
- Energy of formation: 0.32 eV per atom

a b c (Å): 2.9915 4.0713 6.0046
angles (deg): 90.00 92.29 90.00
Last column: nearest neighbours and their distance in Å.
Space group Pm (No. 6)
Asymmetric unit:
Mo 0.0000 0.0000 0.0000 (multiplicity 1)  2 Mo 2.55
Mo 0.3385 0.5000 0.1987 (multiplicity 1)  2 Mo 2.55, 1 Pt 2.70
Pt 0.4509 0.5000 0.7543 (multiplicity 1)  5 Mo 2.70-2.97, 4 Pb 2.93-3.01, 2 Pt 2.99
Pb 0.9057 0.0000 0.4941 (multiplicity 1)  4 Pt 2.93-3.01, 2 Pb 2.99, 6 Mo 2.99-3.15